(1)
Density functional theory data (GGA-PBE) for a relaxed structure of GdMgBi2.

Properties
- DOS(E_F) (states/eV per cell) = 2.4
- energy above the most stable polymorph in this dataset (meV/atom) = 51.0
- ΔE_f (eV/atom) = -0.425
- space group = P4/mmm, No. 123

Geometry as POSCAR:
```
GdMgBi2
1.0
4.0818 0.0000 0.0000
0.0000 4.0818 0.0000
0.0000 0.0000 6.8848
Bi Gd Mg
2 1 1
Direct
0.0000 0.0000 0.7513
0.0000 0.0000 0.2487
0.5000 0.5000 0.5000
0.5000 0.5000 0.0000
```

=====

(2)
Density functional theory data (GGA-PBE) for a relaxed structure of Cs7KO2.

Properties
- DOS(E_F) (states/eV per cell) = 6.1
- raw formation energy (eV/atom) = -0.553
- space group = Cmmm, No. 65

Geometry as POSCAR:
```
Cs7KO2
1.0
5.9937 0.0000 0.0000
0.0000 12.7372 -2.6611
0.0000 -8.1213 10.1667
Cs O K
7 2 1
Direct
0.5000 0.3982 0.0556
0.5000 0.9444 0.6018
0.5000 0.6018 0.9444
0.0000 0.2736 0.7264
0.5000 0.5000 0.5000
0.5000 0.0556 0.3982
0.0000 0.7264 0.2736
0.5000 0.7456 0.2544
0.5000 0.2544 0.7456
0.0000 0.0000 0.0000
```

=====

(3)
Density functional theory data (GGA-PBE) for a relaxed structure of Mg2InW.

Properties
- DOS(E_F) (states/eV per cell) = 2.4
- ΔE_f (eV/atom) = 0.443
- space group = Imm2, No. 44

Geometry as POSCAR:
```
Mg2InW
1.0
5.7753 -0.0017 -0.0007
2.8263 5.0365 0.0007
-3.6735 -3.5891 2.6416
In Mg W
1 2 1
Direct
0.2578 0.7578 0.5000
0.7396 0.2396 0.5000
0.0027 0.0027 0.0000
0.4999 0.4999 0.0000
```